(1)
Below is a relaxed structure of Nb2HgRh2, with properties calculated at the GGA-PBEsol level.

abc: 2.902 7.592 7.592
angles: 90.00 90.00 90.00
Atoms (fractional coordinates):
Nb: 0.500 0.334 0.166
Nb: 0.500 0.834 0.334
Nb: 0.500 0.166 0.666
Nb: 0.500 0.666 0.834
Rh: 0.000 0.372 0.872
Rh: 0.000 0.628 0.128
Rh: 0.000 0.128 0.372
Rh: 0.000 0.872 0.628
Hg: 0.000 0.500 0.500
Hg: 0.000 0.000 0.000

Calculated values
The value obtained for the energy of formation from the pure elements is -253 meV per atom. Its space group is P4/mbm. Its final energy is -79.5 eV per cell. The value obtained for the energy above the most stable polymorph in this dataset is 0 meV per atom.

(2)
Below is a relaxed structure of NbHg3Rh, with properties calculated at the GGA-PBEsol level.

abc: 5.011 5.011 5.011
angles: 90.00 90.00 90.00
Last column: magnetic moment on the atom in μB.
Atoms (fractional coordinates):
Hg: 0.000 0.000 0.500  -0.01
Hg: 0.000 0.500 0.000  -0.01
Hg: 0.500 0.000 0.000  -0.01
Rh: 0.000 0.000 0.000  0.28
Nb: 0.500 0.500 0.500  2.72

Calculated values
The value obtained for the energy of formation from the pure elements is 1045 meV per atom. Its space group is Pm-3m. Its final energy is -15.4 eV per cell.

(3)
Below is a relaxed structure of Nb2HgRh2, with properties calculated at the GGA-PBEsol level.

abc: 4.362 4.362 5.847
angles: 111.90 111.90 90.00
Atoms (fractional coordinates):
Rh: 0.623 0.623 0.246
Rh: 0.377 0.377 0.754
Nb: 0.250 0.750 0.500
Nb: 0.750 0.250 0.500
Hg: 0.000 0.000 0.000

Calculated values
The value obtained for the energy of formation from the pure elements is 30 meV per atom. Its space group is I4/mmm. Its final energy is -38.3 eV per cell. The value obtained for the energy above the most stable polymorph in this dataset is 283 meV per atom.

(4)
Below is a relaxed structure of Nb3HgRh, with properties calculated at the GGA-PBEsol level.

abc: 4.765 4.765 4.765
angles: 90.00 90.00 90.00
Atoms (fractional coordinates):
Nb: 0.500 0.000 0.000
Nb: 0.000 0.500 0.000
Nb: 0.000 0.000 0.500
Hg: 0.500 0.500 0.500
Rh: 0.000 0.000 0.000

Calculated values
The value obtained for the energy of formation from the pure elements is 965 meV per atom. Its space group is Pm-3m. Its final energy is -36.3 eV per cell. The value obtained for the energy above the most stable polymorph in this dataset is 0 meV per atom.

(5)
Below is a relaxed structure of Nb3HgRh, with properties calculated at the GGA-PBEsol level.

abc: 4.917 4.917 4.917
angles: 90.00 90.00 90.00
Last column: magnetic moment on the atom in μB.
Atoms (fractional coordinates):
Nb: 0.000 0.000 0.500  0.31
Nb: 0.000 0.500 0.000  0.31
Nb: 0.500 0.000 0.000  0.31
Rh: 0.500 0.500 0.500  0.02
Hg: 0.000 0.000 0.000  0.05

Calculated values
The value obtained for the energy of formation from the pure elements is 2279 meV per atom. Its space group is Pm-3m. Its final energy is -29.8 eV per cell. The value obtained for the energy above the most stable polymorph in this dataset is 1314 meV per atom.

(6)
Below is a relaxed structure of ScNbHgRh2, with properties calculated at the GGA-PBEsol level.

abc: 4.622 4.622 5.218
angles: 90.00 90.00 90.00
Atoms (fractional coordinates):
Nb: 0.000 0.000 0.000
Sc: 0.500 0.500 0.500
Hg: 0.000 0.000 0.500
Rh: 0.000 0.500 0.000
Rh: 0.500 0.000 0.000

Calculated values
The value obtained for the energy of formation from the pure elements is 676 meV per atom. Its space group is P4/mmm. Its final energy is -30.9 eV per cell.

(7)
Below is a relaxed structure of Nb2HgRu, with properties calculated at the GGA-PBEsol level.

abc: 4.598 4.598 4.598
angles: 60.00 60.00 60.00
Atoms (fractional coordinates):
Nb: 0.750 0.750 0.750
Nb: 0.250 0.250 0.250
Ru: 0.000 0.000 0.000
Hg: 0.500 0.500 0.500

Calculated values
The value obtained for the energy of formation from the pure elements is 311 meV per atom. Its space group is Fm-3m. Its final energy is -31.1 eV per cell.

(8)
Below is a relaxed structure of Nb2HgRu2, with properties calculated at the GGA-PBEsol level.

abc: 4.256 4.256 6.001
angles: 110.77 110.77 90.00
Atoms (fractional coordinates):
Nb: 0.750 0.250 0.500
Nb: 0.250 0.750 0.500
Ru: 0.383 0.383 0.767
Ru: 0.617 0.617 0.233
Hg: 0.000 0.000 0.000

Calculated values
The value obtained for the energy of formation from the pure elements is 232 meV per atom. Its space group is I4/mmm. Its final energy is -41.4 eV per cell.

(9)
Below is a relaxed structure of Nb3HgS, with properties calculated at the GGA-PBEsol level.

abc: 4.558 4.558 4.558
angles: 90.00 90.00 90.00
Atoms (fractional coordinates):
Hg: 0.500 0.500 0.500
Nb: 0.000 0.500 0.000
Nb: 0.500 0.000 0.000
Nb: 0.000 0.000 0.500
S: 0.000 0.000 0.000

Calculated values
Its uncorrected formation energy is 98.9 meV per atom. Its space group is Pm-3m. Its final energy is -36.9 eV per cell.

(10)
Below is a relaxed structure of ScNbHg2, with properties calculated at the GGA-PBEsol level.

abc: 4.799 4.799 4.799
angles: 60.00 60.00 60.00
Atoms (fractional coordinates):
Nb: 0.500 0.500 0.500
Sc: 0.000 0.000 0.000
Hg: 0.750 0.750 0.750
Hg: 0.250 0.250 0.250

Calculated values
The value obtained for the energy of formation from the pure elements is -58 meV per atom. Its space group is Fm-3m. Its final energy is -18.8 eV per cell.

(11)
Below is a relaxed structure of NbHgSe2, with properties calculated at the GGA-PBEsol level.

abc: 3.385 3.385 9.904
angles: 80.16 80.16 60.00
Atoms (fractional coordinates):
Se: 0.108 0.108 0.675
Se: 0.892 0.892 0.325
Hg: 0.000 0.000 0.000
Nb: 0.500 0.500 0.500

Calculated values
Its uncorrected formation energy is -582.2 meV per atom. Its space group is R-3m. Its final energy is -21.4 eV per cell.

(12)
Below is a relaxed structure of Nb3SnHg, with properties calculated at the GGA-PBEsol level.

abc: 4.982 4.982 4.982
angles: 90.00 90.00 90.00
Atoms (fractional coordinates):
Nb: 0.000 0.000 0.500
Nb: 0.500 0.000 0.000
Nb: 0.000 0.500 0.000
Sn: 0.000 0.000 0.000
Hg: 0.500 0.500 0.500

Calculated values
The value obtained for the energy of formation from the pure elements is 1616 meV per atom. Its space group is Pm-3m. Its final energy is -29.2 eV per cell.

no.,total magnetization (μB per cell)
1,0.00
2,3.90
3,0.00
4,0.00
5,1.26
6,0.00
7,0.00
8,0.00
9,0.00
10,0.00
11,0.00
12,0.00